This record from OQMD via LeMat-Bulk describes a geometry-optimized CoBiPO structure. The functional is PBE with a Hubbard U.

SG	No. 26
total DFT energy (no corrections)	-40.97	eV for the cell shown
excess energy over the best structure of this formula in the dataset	0.1923	eV/atom

abc: 3.656 6.072 7.065
angles: 90.00 90.00 90.00
Fractional coordinates of all 8 atoms:
Co  0.000  0.162  0.000
Co  0.000  0.838  0.500
Bi  0.500  0.376  0.553
Bi  0.500  0.624  0.053
P  0.000  0.182  0.340
P  0.000  0.818  0.840
O  0.500  0.282  0.931
O  0.500  0.718  0.431